Record 1
VASP calculation (PBE-GGA) on an optimized crystal structure of ZrCu4Se.

Output
Raw formation energy ... -0.09 eV per formula unit

Cell and atoms, written as extended XYZ:
```
6
Lattice="-2.720 -3.367 2.557 -5.003 0.445 0.206 -2.918 -3.268 -2.466" Properties=species:S:1:pos:R:3 pbc="T T T"
Cu -5.191 -2.233 1.421
Cu -5.291 -2.183 -1.095
Se -2.660 -1.547 0.074
Zr 0.000 0.000 0.000
Cu -4.147 -4.093 0.082
Cu -6.653 -3.870 0.186
```


Record 2
VASP calculation (PBE-GGA) on an optimized crystal structure of Ta2ZnOs.

Output
Energy of formation ... -0.07 eV per atom

Cell and atoms, written as extended XYZ:
```
4
Lattice="3.928 0.000 0.000 0.000 4.042 0.000 0.000 0.000 4.042" Properties=species:S:1:pos:R:3 pbc="T T T"
Ta 0.000 0.000 2.021
Ta 0.000 2.021 0.000
Os 1.964 2.021 2.021
Zn 1.964 0.000 0.000
```


Record 3
VASP calculation (PBE-GGA) on an optimized crystal structure of Na3Tb2PaS6.

Output
Raw formation energy ... -20.24 eV per formula unit

Cell and atoms, written as extended XYZ:
```
12
Lattice="6.892 -0.001 0.000 -3.445 5.969 0.000 -1.149 -1.990 6.729" Properties=species:S:1:pos:R:3 pbc="T T T"
S -0.013 -0.023 5.178
S -1.137 1.969 1.554
S 2.273 -0.001 1.554
S 2.311 4.001 1.552
Na -2.281 3.970 3.365
Na 4.579 0.008 3.365
S 3.434 2.009 5.176
Na 1.149 1.989 3.365
Tb 3.445 1.990 0.000
Tb 0.002 3.979 0.000
S 0.024 3.979 5.176
Pa 0.000 0.000 0.000
```


Record 4
VASP calculation (PBE-GGA) on an optimized crystal structure of BaCa4La.

Output
Energy of formation ... 0.16 eV per atom

Cell and atoms, written as extended XYZ:
```
6
Lattice="-4.016 -3.305 -5.178 -7.059 1.805 -0.879 -2.117 3.742 -5.947" Properties=species:S:1:pos:R:3 pbc="T T T"
La -9.894 1.682 -9.003
Ba 0.000 0.000 0.000
Ca -6.952 -0.796 -7.081
Ca -8.461 1.738 -4.949
Ca -4.960 0.843 -4.514
Ca -6.010 2.699 -7.463
```


Record 5
VASP calculation (PBE-GGA) on an optimized crystal structure of Pm3Pr4Dy2.

Output
Energy above the most stable polymorph in this dataset ... 45.6 kJ/mol of formula units
Energy of formation ... 0.07 eV per atom

Cell and atoms, written as extended XYZ:
```
9
Lattice="-2.361 -2.436 -1.349 3.216 0.529 -1.644 11.151 -19.426 15.567" Properties=species:S:1:pos:R:3 pbc="T T T"
Pm 6.811 -14.188 8.762
Pr 1.863 -5.567 1.854
Pr 8.566 -14.923 11.958
Pm 10.960 -19.094 15.300
Pr 6.079 -10.590 8.486
Pm 3.567 -6.214 4.979
Dy 0.458 -3.120 -0.107
Pr 4.319 -9.846 5.282
Dy 9.254 -18.443 12.172
```


Record 6
VASP calculation (PBE-GGA) on an optimized crystal structure of Ho3TmRu2.

Output
Energy above the most stable polymorph in this dataset ... 0.0 kJ/mol of formula units
Energy of formation ... -0.37 eV per atom

Cell and atoms, written as extended XYZ:
```
12
Lattice="-2.134 -5.587 2.000 6.310 -2.314 0.271 0.487 2.095 6.373" Properties=species:S:1:pos:R:3 pbc="T T T"
Ru 0.642 -2.848 2.671
Ho 0.170 -0.362 4.141
Tm 3.256 -1.802 3.412
Ho 2.020 -5.363 2.085
Ru 5.087 -0.163 4.972
Ho -0.713 -2.398 7.452
Ru 4.020 -2.957 5.972
Ho 4.492 -5.443 4.502
Ru 1.709 -0.055 1.671
Ho 2.643 -0.441 6.558
Ho 5.375 -3.406 1.191
Tm 1.407 -4.003 5.231
```


Record 7
VASP calculation (PBE-GGA) on an optimized crystal structure of Ac3Cd8.

Output
Energy of formation ... -0.29 eV per atom

Cell and atoms, written as extended XYZ:
```
11
Lattice="3.967 0.000 -0.593 -0.123 5.039 -0.820 0.344 0.001 15.856" Properties=species:S:1:pos:R:3 pbc="T T T"
Cd 2.049 2.278 13.695
Cd 1.778 4.565 11.885
Cd 2.410 0.475 2.558
Cd 3.011 3.731 6.575
Cd 2.838 0.951 5.418
Ac 3.598 1.796 10.500
Cd 1.177 1.309 7.867
Ac 0.590 3.244 3.943
Ac 0.000 0.000 0.000
Cd 1.350 4.089 9.024
Cd 2.140 2.762 0.747
```


Record 8
VASP calculation (PBE-GGA) on an optimized crystal structure of MnReCl2.

Output
Raw formation energy ... 3.99 eV per formula unit
Energy above the most stable polymorph in this dataset ... 430.3 kJ/mol of formula units

Cell and atoms, written as extended XYZ:
```
4
Lattice="4.655 0.000 0.000 2.327 4.031 0.000 2.327 1.344 3.800" Properties=species:S:1:pos:R:3 pbc="T T T"
Cl 0.000 0.000 0.000
Re 6.982 4.031 2.850
Mn 4.655 2.687 1.900
Cl 2.327 1.344 0.950
```


no.,DOS(E_F) (states/eV/cell),total DFT energy (no corrections) (eV per atom)
1,5.50,-4.752
2,3.21,-9.121
3,6.63,-5.643
4,10.11,-2.315
5,16.75,-4.663
6,9.48,-6.500
7,8.59,-2.078
8,0.45,-5.330